Record 1
The following is a DFT calculation (GGA-PBE) of crystalline MnGe2Ir at its relaxed geometry.

It has space group C2/m (No. 12), with a = 8.6704 Å, b = 3.4437 Å, c = 8.2861 Å, α = 90.00°, β = 99.83° and γ = 90.00°. The asymmetric unit holds Mn at (0.0423, 0.0000, 0.3494), Ge at (0.1081, 0.5000, 0.1395), Ge at (0.1556, 0.5000, 0.5582) and Ir at (0.1846, 0.5000, 0.8551).

Its total energy is -6.956 eV per atom. The value obtained for the density of states at the Fermi level is 0.52 states/eV per atom. As for the size of the total moment: 2.3 μB/f.u.

=====

Record 2
The following is a DFT calculation (GGA-PBE) of crystalline Cs12K3Hg5 at its relaxed geometry.

It has space group Ia-3d (No. 230), with a = 24.4228 Å, b = 24.4228 Å, c = 24.4228 Å, α = 90.00°, β = 90.00° and γ = 90.00°. The asymmetric unit holds Cs at (0.0369, 0.0587, 0.6406), K at (0.0000, 0.2500, 0.1250), Hg at (0.0000, 0.0000, 0.0000) and Hg at (0.0000, 0.2500, 0.3750).

Its total energy is -0.770 eV per atom. The value obtained for the density of states at the Fermi level is 1.09 states/eV per atom. As for the size of the total moment: 0.0 μB/f.u.

=====

Record 3
The following is a DFT calculation (GGA-PBE) of crystalline Ba2CaFe at its relaxed geometry.

It has space group I-4m2 (No. 119), with a = 5.9559 Å, b = 5.9559 Å, c = 8.4511 Å, α = 90.00°, β = 90.00° and γ = 90.00°. The asymmetric unit holds Ba at (0.0000, 0.0000, 0.0000), Ba at (0.0000, 0.5000, 0.2500), Ca at (0.0000, 0.5000, 0.7500) and Fe at (0.0000, 0.0000, 0.5000).

Its total energy is -2.968 eV per atom. The value obtained for the density of states at the Fermi level is 1.23 states/eV per atom. As for the size of the total moment: 3.0 μB/f.u.

=====

Record 4
The following is a DFT calculation (GGA-PBE) of crystalline Mg5Os at its relaxed geometry.

It has space group P6/mmm (No. 191), with a = 5.3306 Å, b = 5.3306 Å, c = 4.9585 Å, α = 90.00°, β = 90.00° and γ = 120.00°. The asymmetric unit holds Mg at (0.0000, 0.5000, 0.0000), Mg at (0.3333, 0.6667, 0.5000) and Os at (0.0000, 0.0000, 0.5000).

Its total energy is -2.511 eV per atom. The value obtained for the density of states at the Fermi level is 0.63 states/eV per atom. As for the size of the total moment: 0.0 μB/f.u.